1.
The following is a DFT calculation (GGA-PBE) of BaAlAu2 after structural relaxation.

abc: 3.8635 3.7800 7.3791
angles: 72.40 90.00 90.00
Fractional coordinates of all 4 atoms:
1 Au 0.0000 0.5571 0.5637
2 Au 0.0000 0.9429 0.9363
3 Al 0.5000 0.7500 0.7500
4 Ba 0.5000 0.2500 0.2500

Values from the calculation:
The mass density comes out at 9.02 g/cm³. The calculation puts the formation enthalpy at 0 K at -407 meV/atom. The density of states at the Fermi level comes out at 0.42 states/eV per atom.

=====

2.
The following is a DFT calculation (GGA-PBE) of Ba2AlAu3 after structural relaxation.

abc: 4.4527 4.7425 8.2943
angles: 90.00 90.00 90.00
Fractional coordinates of all 6 atoms:
1 Au 0.5000 0.5000 0.6359
2 Ba 0.0000 0.5000 0.9891
3 Ba 0.0000 0.0000 0.5158
4 Au 0.5000 0.0000 0.1927
5 Au 0.5000 0.0000 0.8436
6 Al 0.5000 0.5000 0.3231

Values from the calculation:
The mass density comes out at 8.46 g/cm³. The calculation puts the formation enthalpy at 0 K at -649 meV/atom. The density of states at the Fermi level comes out at 0.57 states/eV per atom.

=====

3.
The following is a DFT calculation (GGA-PBE) of Ba2AlAu7 after structural relaxation.

abc: 4.5704 4.5704 11.8518
angles: 90.00 90.00 90.00
Fractional coordinates of all 10 atoms:
1 Au 0.0000 0.5000 0.8734
2 Au 0.0000 0.0000 0.0000
3 Au 0.0000 0.5000 0.6425
4 Au 0.5000 0.5000 0.5000
5 Al 0.5000 0.5000 0.0000
6 Au 0.5000 0.0000 0.3575
7 Ba 0.5000 0.0000 0.7427
8 Ba 0.0000 0.5000 0.2573
9 Au 0.5000 0.0000 0.1266
10 Au 0.0000 0.0000 0.5000

Values from the calculation:
The mass density comes out at 11.27 g/cm³. The calculation puts the formation enthalpy at 0 K at -482 meV/atom. The density of states at the Fermi level comes out at 0.25 states/eV per atom.

=====

4.
The following is a DFT calculation (GGA-PBE) of BaAlAu2 after structural relaxation.

abc: 5.1129 5.1133 3.9608
angles: 90.00 90.00 90.00
Fractional coordinates of all 4 atoms:
1 Au 0.0000 0.0000 0.0000
2 Al 0.0000 0.5000 0.5000
3 Au 0.5000 0.5000 0.0000
4 Ba 0.5000 0.0000 0.5000

Values from the calculation:
The mass density comes out at 8.95 g/cm³. The calculation puts the formation enthalpy at 0 K at -233 meV/atom. The density of states at the Fermi level comes out at 0.30 states/eV per atom.